This record from Alexandria via LeMat-Bulk describes a geometry-optimized La2Pm3YTe6 structure. The functional is PBE-GGA.

Properties
- Space group: No. 12
- Energy relative to the elements, uncorrected: -1.454 eV/atom

a = 4.4742 Å, b = 9.0164 Å, c = 10.0171 Å
α = 102.66°, β = 102.90°, γ = 90.00°
Fractional positions:
1 La 0.8333 0.6664 0.6666
2 La 0.1667 0.3336 0.3334
3 Te 0.3352 0.4127 0.6705
4 Te 0.3374 0.9238 0.6749
5 Te 0.6648 0.5873 0.3295
6 Te 0.9967 0.2423 0.9934
7 Te 0.6626 0.0762 0.3251
8 Te 0.0033 0.7577 0.0066
9 Y 0.5000 0.0000 0.0000
10 Pm 0.5000 0.5000 0.0000
11 Pm 0.8294 0.1654 0.6589
12 Pm 0.1706 0.8346 0.3411